1.
Ca2AgBr (PBE, optimized geometry); energy = -11.50 eV per formula unit; E_form (uncorrected) = -0.74 eV/atom; offset from the most stable computed form = 72 meV per atom; density of states at the Fermi level = 0.800 states/eV/atom
1.0
4.342 0.000 0.000
0.000 4.354 0.000
0.000 0.000 6.263
Ca Ag Br
2 1 1
direct
0.000 0.000 0.000 Ca
0.500 0.500 0.500 Ca
0.000 0.000 0.500 Ag
0.500 0.500 0.000 Br



2.
Li2Sm3Tl4 (PBE, optimized geometry); energy = -30.36 eV per formula unit; DFT formation energy = -0.3228 eV/atom; density of states at the Fermi level = 0.416 states/eV/atom
1.0
5.568 -2.486 0.000
5.568 2.486 0.000
-4.399 0.000 8.403
Li Sm Tl
2 3 4
direct
0.115 0.115 0.287 Li
0.885 0.885 0.713 Li
0.162 0.162 0.660 Sm
0.500 0.500 0.000 Sm
0.838 0.838 0.340 Sm
0.229 0.229 0.083 Tl
0.443 0.443 0.623 Tl
0.557 0.557 0.377 Tl
0.771 0.771 0.917 Tl



3.
SrV3W (PBE, optimized geometry); energy = -36.47 eV per formula unit; offset from the most stable computed form = 0 meV per atom; DFT formation energy = 1.1051 eV/atom; density of states at the Fermi level = 1.062 states/eV/atom
1.0
4.775 0.000 0.000
0.000 4.775 0.000
0.000 0.000 4.775
Sr V W
1 3 1
direct
0.000 0.000 0.000 Sr
0.000 0.500 0.500 V
0.500 0.000 0.500 V
0.500 0.500 0.000 V
0.500 0.500 0.500 W



4.
Nd3HoSb4 (PBE, optimized geometry); energy = -44.68 eV per formula unit; E_form (uncorrected) = -1.16 eV/atom; density of states at the Fermi level = 0.069 states/eV/atom
1.0
6.343 0.000 0.000
0.000 6.343 0.000
0.000 0.000 6.343
Nd Ho Sb
3 1 4
direct
0.000 0.000 0.500 Nd
0.000 0.500 0.000 Nd
0.500 0.000 0.000 Nd
0.500 0.500 0.500 Ho
0.000 0.000 0.000 Sb
0.000 0.500 0.500 Sb
0.500 0.000 0.500 Sb
0.500 0.500 0.000 Sb



5.
Ru2CS4 (PBE, optimized geometry); energy = -38.08 eV per formula unit; E_form (uncorrected) = 0.89 eV/atom; density of states at the Fermi level = 0.544 states/eV/atom
1.0
-2.005 2.005 6.050
2.005 -2.005 6.050
2.005 2.005 -6.050
Ru C S
2 1 4
direct
0.121 0.121 0.000 Ru
0.879 0.879 0.000 Ru
0.500 0.500 0.000 C
0.000 0.500 0.500 S
0.318 0.318 0.000 S
0.500 0.000 0.500 S
0.682 0.682 0.000 S



6.
Ca3Br (PBE, optimized geometry); energy = -9.99 eV per formula unit; E_form (uncorrected) = -0.58 eV/atom; offset from the most stable computed form = 93 meV per atom; density of states at the Fermi level = 0.890 states/eV/atom
1.0
-1.900 5.798 3.355
1.900 -5.798 3.355
1.900 5.798 -3.355
Ca Br
3 1
direct
0.000 0.000 0.000 Ca
0.269 0.471 0.798 Ca
0.673 0.471 0.202 Ca
0.625 0.125 0.500 Br